! CaPrNiGe, optimized geometry, DFT PBE; values from VASP
&SYSTEM
  ibrav = 0, nat = 4, ntyp = 4
/
ATOMIC_SPECIES
Pr 140.91 Pr.upf
Ni 58.69 Ni.upf
Ge 72.64 Ge.upf
Ca 40.08 Ca.upf
CELL_PARAMETERS angstrom
-1.390 0.662 4.825
-4.766 -0.962 1.417
-1.014 -4.014 2.917
ATOMIC_POSITIONS angstrom
Pr 0.000 0.000 0.000
Ni -5.377 -3.236 6.869
Ge -1.792 -1.079 2.290
Ca -3.585 -2.157 4.579
! Total magnetic moment (μB per formula unit): 0.0
! Volume (Å³/f.u.): 91.8
! Fermi-level density of states (states/eV/f.u.): 3.7
! ΔH_f (0 K) (meV per atom): -369.2